No. 1
Compound: TiNbTeN2
Source: the Alexandria database
Functional: PBE-GGA
Structure: relaxed

Cell and atoms, written as CIF:
```
data_TiNbTeN2
_cell_length_a 4.0392
_cell_length_b 4.0392
_cell_length_c 5.6649
_cell_angle_alpha 90.00
_cell_angle_beta 90.00
_cell_angle_gamma 90.00
_symmetry_space_group_name_H-M 'P 1'
_symmetry_Int_Tables_number 1
_symmetry_space_group_name_Hall 'P 1'
loop_
_atom_site_label
_atom_site_type_symbol
_atom_site_fract_x
_atom_site_fract_y
_atom_site_fract_z
Ti1 Ti 0.0000 0.0000 0.0000
Nb1 Nb 0.5000 0.5000 0.5000
Te1 Te 0.5000 0.5000 0.0000
N1 N 0.0000 0.5000 0.5000
N2 N 0.5000 0.0000 0.5000
```

Properties
SG: P4/mmm
ρ (g/cm3): 5.33

---

No. 2
Compound: NbTlTe2N
Source: the Alexandria database
Functional: PBE-GGA
Structure: relaxed

Cell and atoms, written as CIF:
```
data_NbTlTe2N
_cell_length_a 5.7996
_cell_length_b 5.7996
_cell_length_c 4.1136
_cell_angle_alpha 90.00
_cell_angle_beta 90.00
_cell_angle_gamma 90.00
_symmetry_space_group_name_H-M 'P 1'
_symmetry_Int_Tables_number 1
_symmetry_space_group_name_Hall 'P 1'
loop_
_atom_site_label
_atom_site_type_symbol
_atom_site_fract_x
_atom_site_fract_y
_atom_site_fract_z
Nb1 Nb 0.0000 0.0000 0.0000
Tl1 Tl 0.5000 0.5000 0.5000
Te1 Te 0.0000 0.5000 0.5000
Te2 Te 0.5000 0.0000 0.5000
N1 N 0.5000 0.5000 0.0000
```

Properties
SG: P4/mmm
ρ (g/cm3): 6.80

---

No. 3
Compound: NbTlTe2N
Source: the Alexandria database
Functional: PBE-GGA
Structure: relaxed

Cell and atoms, written as CIF:
```
data_NbTlTe2N
_cell_length_a 5.7326
_cell_length_b 5.7326
_cell_length_c 3.9481
_cell_angle_alpha 90.00
_cell_angle_beta 90.00
_cell_angle_gamma 90.00
_symmetry_space_group_name_H-M 'P 1'
_symmetry_Int_Tables_number 1
_symmetry_space_group_name_Hall 'P 1'
loop_
_atom_site_label
_atom_site_type_symbol
_atom_site_fract_x
_atom_site_fract_y
_atom_site_fract_z
Nb1 Nb 0.0000 0.0000 0.0000
Tl1 Tl 0.5000 0.5000 0.5000
Te1 Te 0.0000 0.5000 0.0000
Te2 Te 0.5000 0.0000 0.0000
N1 N 0.0000 0.0000 0.5000
```

Properties
SG: P4/mmm
ρ (g/cm3): 7.25

---

No. 4
Compound: NbVTeN2
Source: the Alexandria database
Functional: PBE-GGA
Structure: relaxed

Cell and atoms, written as CIF:
```
data_NbVTeN2
_cell_length_a 4.0267
_cell_length_b 4.0267
_cell_length_c 5.7710
_cell_angle_alpha 90.00
_cell_angle_beta 90.00
_cell_angle_gamma 90.00
_symmetry_space_group_name_H-M 'P 1'
_symmetry_Int_Tables_number 1
_symmetry_space_group_name_Hall 'P 1'
loop_
_atom_site_label
_atom_site_type_symbol
_atom_site_fract_x
_atom_site_fract_y
_atom_site_fract_z
Nb1 Nb 0.0000 0.0000 0.0000
V1 V 0.5000 0.5000 0.5000
Te1 Te 0.0000 0.0000 0.5000
N1 N 0.0000 0.5000 0.0000
N2 N 0.5000 0.0000 0.0000
```

Properties
SG: P4/mmm
ρ (g/cm3): 5.31

---

Calculated values (eV per atom) of VASP energy for the records, taken in order: -7.1814; -3.9168; -5.4452; -7.0969.